(1)
Compound: La4Tb3Th
Source: Alexandria via LeMat-Bulk
Functional: GGA-PBE
Structure: optimized geometry

formation energy = 0.360 eV/atom
size of the total moment = 0.0 μB per cell
total energy = -38.14 eV/cell
symmetry = No. 65

Cell: 3.453 9.019 9.019 Å, 97.06 90.00 90.00°
Positions (direct):
La 0.000 0.759 0.759
La 0.500 0.251 0.749
La 0.000 0.241 0.241
La 0.500 0.749 0.251
Tb 0.000 0.000 0.500
Tb 0.500 0.500 0.500
Tb 0.000 0.500 0.000
Th 0.500 0.000 0.000

(2)
Compound: LaTbTh
Source: Alexandria via LeMat-Bulk
Functional: GGA-PBE
Structure: optimized geometry

formation energy = 0.106 eV/atom
size of the total moment = 0.0 μB per cell
total energy = -33.32 eV/cell
symmetry = No. 129

Cell: 4.232 4.232 11.480 Å, 90.00 90.00 90.00°
Positions (direct):
La 0.000 0.500 0.600
La 0.500 0.000 0.400
Tb 0.500 0.000 0.774
Tb 0.000 0.500 0.226
Th 0.000 0.500 0.926
Th 0.500 0.000 0.074

(3)
Compound: LaTb10Th4
Source: Alexandria via LeMat-Bulk
Functional: GGA-PBE
Structure: optimized geometry

formation energy = 0.507 eV/atom
size of the total moment = 0.0 μB per cell
total energy = -73.31 eV/cell
symmetry = No. 87

Cell: 11.153 8.795 8.795 Å, 66.29 50.65 50.65°
Positions (direct):
La 0.000 0.000 0.000
Tb 0.250 0.500 0.500
Tb 0.709 0.346 0.900
Tb 0.945 0.100 0.346
Tb 0.391 0.900 0.654
Tb 0.955 0.654 0.100
Tb 0.291 0.654 0.100
Tb 0.750 0.500 0.500
Tb 0.045 0.346 0.900
Tb 0.609 0.100 0.346
Tb 0.055 0.900 0.654
Th 0.551 0.647 0.251
Th 0.802 0.749 0.647
Th 0.198 0.251 0.353
Th 0.449 0.353 0.749